NpCdCo: relaxed, GGA-PBE.

space-group type: No. 216
formation energy from the elements: 0.41 eV/atom
electronic total energy: -6.51 eV per atom

Cell: 4.406 4.406 4.406 Å, 60.00 60.00 60.00°
Sites, in units of the cell vectors:
Np (0.750, 0.750, 0.750)
Co (0.000, 0.000, 0.000)
Cd (0.250, 0.250, 0.250)


YBeInPt: relaxed, GGA-PBE.

space-group type: No. 216
energy above the most stable polymorph in this dataset: 15.2 kJ/mol of atoms
electronic total energy: -5.04 eV per atom

Cell: 4.746 4.746 4.746 Å, 60.00 60.00 60.00°
Sites, in units of the cell vectors:
In (0.000, 0.000, 0.000)
Be (0.750, 0.750, 0.750)
Pt (0.500, 0.500, 0.500)
Y (0.250, 0.250, 0.250)


MgCdO2: relaxed, GGA-PBE.

space-group type: No. 123
energy above the most stable polymorph in this dataset: 9.1 kJ/mol of atoms
electronic total energy: -4.81 eV per atom

Cell: 3.202 3.208 4.544 Å, 90.00 90.00 90.00°
Sites, in units of the cell vectors:
O (0.500, 0.500, 0.250)
O (0.000, 0.000, 0.750)
Mg (0.500, 0.500, 0.750)
Cd (0.000, 0.000, 0.250)


NaDyGaSe3: relaxed, GGA-PBE.

space-group type: No. 63
electronic total energy: -4.36 eV per atom

Cell: 6.958 6.958 10.901 Å, 90.00 90.00 142.40°
Sites, in units of the cell vectors:
Se (0.921, 0.079, 0.750)
Se (0.633, 0.367, 0.930)
Se (0.633, 0.367, 0.570)
Se (0.367, 0.633, 0.070)
Se (0.367, 0.633, 0.430)
Se (0.079, 0.921, 0.250)
Ga (0.511, 0.489, 0.750)
Ga (0.489, 0.511, 0.250)
Dy (0.000, 0.000, 0.500)
Dy (0.000, 0.000, 0.000)
Na (0.247, 0.753, 0.750)
Na (0.753, 0.247, 0.250)


NaCuPt: relaxed, GGA-PBE.

space-group type: No. 216
energy above the most stable polymorph in this dataset: 0.0 kJ/mol of atoms
electronic total energy: -3.44 eV per atom

Cell: 4.268 4.268 4.268 Å, 60.00 60.00 60.00°
Sites, in units of the cell vectors:
Na (0.250, 0.250, 0.250)
Pt (0.750, 0.750, 0.750)
Cu (0.000, 0.000, 0.000)


TmZnSn: relaxed, GGA-PBE.

space-group type: No. 216
electronic total energy: -3.32 eV per atom

Cell: 4.875 4.875 4.875 Å, 60.00 60.00 60.00°
Sites, in units of the cell vectors:
Zn (0.750, 0.750, 0.750)
Tm (0.000, 0.000, 0.000)
Sn (0.250, 0.250, 0.250)